Here is a relaxed structure of LiVGaF6 from the Alexandria database. Energies are from PBE+U.

The structure in extended XYZ format:
```
18
Lattice="5.2833 0.0000 0.0000 -2.6417 4.5755 0.0000 0.0000 0.0000 8.9276" Properties=species:S:1:pos:R:3 pbc="T T T"
Li 0.0000 0.0000 0.0000
Li 0.0000 0.0000 4.4638
V 0.0000 3.0503 2.2319
V 2.6417 1.5252 6.6957
Ga 0.0000 3.0503 6.6957
Ga 2.6417 1.5252 2.2319
F -0.8024 1.6409 5.6441
F -1.6218 3.0602 7.7473
F 0.8024 1.6409 7.7473
F -0.8194 4.4499 5.6441
F 1.8223 0.1256 1.1803
F 1.0199 1.5153 3.2835
F 1.6218 3.0602 5.6441
F 0.8194 4.4499 7.7473
F 3.4611 0.1256 3.2835
F 1.8393 2.9346 1.1803
F 4.2634 1.5153 1.1803
F 3.4440 2.9346 3.2835
```

Calculated values
The symmetry is P-31c, No. 163. As for the total energy: -5.32 eV/atom. Its crystal system is trigonal.